Record 1
Ti2TeC | PBE-GGA | relaxed

Cell: 3.349 3.348 6.648 Å, 104.59 90.00 120.00°
Sites, in units of the cell vectors:
Ti (0.279, 0.059, 0.338)
Ti (0.721, 0.941, 0.662)
Te (0.500, 0.500, 0.000)
C (0.000, 0.500, 0.500)

Properties
Symmetry ... R-3m (166)
Calculated volume ... 15.44 A^3/atom
Formation energy from raw total energies ... -0.68 eV/atom
Total energy ... -7.722 eV/atom

Record 2
GaRhS2 | PBE-GGA | relaxed

Cell: 7.558 7.558 7.558 Å, 26.10 26.10 26.10°
Sites, in units of the cell vectors:
S (0.898, 0.898, 0.898)
S (0.102, 0.102, 0.102)
Rh (0.000, 0.000, 0.000)
Ga (0.500, 0.500, 0.500)

Properties
Symmetry ... R-3m (166)
Calculated volume ... 18.41 A^3/atom
Formation energy from raw total energies ... -0.10 eV/atom
Total energy ... -4.759 eV/atom